(1)
This record from Alexandria via LeMat-Bulk describes Ca2SnS4 after structural relaxation. The functional is PBEsol.

Calculated values
The calculation puts the total DFT energy (no corrections) at -5.130 eV/atom. Its calculated volume is 24.630 Å³ per atom. Its energy relative to the elements, uncorrected is -9.849 eV per formula unit.

a = 8.0898 Å, b = 11.2053 Å, c = 3.8039 Å
α = 90.00°, β = 90.00°, γ = 90.00°
Fractional positions:
Ca  0.2500  0.2500  0.0000
Ca  0.2500  0.7500  0.0000
Ca  0.7500  0.2500  0.0000
Ca  0.7500  0.7500  0.0000
Sn  0.0000  0.0000  0.5000
Sn  0.5000  0.5000  0.5000
S  0.0000  0.2309  0.5000
S  0.0000  0.7691  0.5000
S  0.2194  0.0000  0.0000
S  0.2806  0.5000  0.0000
S  0.5000  0.2691  0.5000
S  0.5000  0.7309  0.5000
S  0.7194  0.5000  0.0000
S  0.7806  0.0000  0.0000

---

(2)
This record from Alexandria via LeMat-Bulk describes CdNiAu2 after structural relaxation. The functional is PBEsol.

Calculated values
The calculation puts the total DFT energy (no corrections) at -3.795 eV/atom. Its calculated volume is 15.922 Å³ per atom.

a = 9.4095 Å, b = 2.9413 Å, c = 4.7683 Å
α = 90.00°, β = 105.15°, γ = 90.00°
Fractional positions:
Cd  0.0000  0.0000  0.0000
Cd  0.5000  0.5000  0.0000
Ni  0.0000  0.5000  0.5000
Ni  0.5000  0.0000  0.5000
Au  0.2351  0.0000  0.7359
Au  0.2649  0.5000  0.2641
Au  0.7351  0.5000  0.7359
Au  0.7649  0.0000  0.2641